Entry 1:
# PBE HgH2Pd2, relaxed
data_HgH2Pd2
_chemical_formula_sum 'Hg2 H4 Pd4'
_cell_length_a 6.156
_cell_length_b 6.156
_cell_length_c 3.319
_cell_angle_alpha 90.00
_cell_angle_beta 90.00
_cell_angle_gamma 90.00
_symmetry_space_group_name_H-M 'P 1'
_symmetry_Int_Tables_number 1
loop_
_symmetry_equiv_pos_as_xyz
'x,y,z'
loop_
_atom_site_label
_atom_site_fract_x
_atom_site_fract_y
_atom_site_fract_z
H1 0.109 0.609 0.000
H2 0.609 0.891 0.000
H3 0.891 0.391 0.000
H4 0.391 0.109 0.000
Hg1 0.000 0.000 0.000
Hg2 0.500 0.500 0.000
Pd1 0.161 0.661 0.500
Pd2 0.661 0.839 0.500
Pd3 0.839 0.339 0.500
Pd4 0.339 0.161 0.500
# Crystal system ... tetragonal

=====

Entry 2:
# PBE HgHPd3, relaxed
data_HgHPd3
_chemical_formula_sum 'Hg1 H1 Pd3'
_cell_length_a 4.097
_cell_length_b 4.097
_cell_length_c 4.097
_cell_angle_alpha 90.00
_cell_angle_beta 90.00
_cell_angle_gamma 90.00
_symmetry_space_group_name_H-M 'P 1'
_symmetry_Int_Tables_number 1
loop_
_symmetry_equiv_pos_as_xyz
'x,y,z'
loop_
_atom_site_label
_atom_site_fract_x
_atom_site_fract_y
_atom_site_fract_z
H1 0.000 0.000 0.000
Hg1 0.500 0.500 0.500
Pd1 0.000 0.500 0.000
Pd2 0.000 0.000 0.500
Pd3 0.500 0.000 0.000
# Crystal system ... cubic

=====

Entry 3:
# PBE HgHPd3, relaxed
data_HgHPd3
_chemical_formula_sum 'Hg4 H4 Pd12'
_cell_length_a 7.599
_cell_length_b 7.599
_cell_length_c 7.599
_cell_angle_alpha 60.00
_cell_angle_beta 60.00
_cell_angle_gamma 60.00
_symmetry_space_group_name_H-M 'P 1'
_symmetry_Int_Tables_number 1
loop_
_symmetry_equiv_pos_as_xyz
'x,y,z'
loop_
_atom_site_label
_atom_site_fract_x
_atom_site_fract_y
_atom_site_fract_z
H1 0.125 0.125 0.125
H2 0.125 0.625 0.125
H3 0.625 0.125 0.125
H4 0.125 0.125 0.625
Hg1 0.625 0.625 0.625
Hg2 0.625 0.125 0.625
Hg3 0.125 0.625 0.625
Hg4 0.625 0.625 0.125
Pd1 0.814 0.186 0.186
Pd2 0.064 0.436 0.436
Pd3 0.436 0.436 0.064
Pd4 0.436 0.064 0.064
Pd5 0.064 0.436 0.064
Pd6 0.814 0.186 0.814
Pd7 0.436 0.064 0.436
Pd8 0.064 0.064 0.436
Pd9 0.186 0.814 0.186
Pd10 0.186 0.814 0.814
Pd11 0.186 0.186 0.814
Pd12 0.814 0.814 0.186
# Crystal system ... cubic

=====

no.,total DFT energy (no corrections) (eV per atom)
1,-3.42
2,-4.02
3,-3.91